Compound: Pd2Pt2Au7
Source: the Alexandria database
Functional: PBE
Structure: optimized geometry

Cell lengths 4.280, 7.461, 7.510 Å; angles 119.79, 106.56, 90.00 degrees
Atoms (fractional coordinates):
Pd 0.000 0.624 0.000
Pd 0.500 0.332 0.000
Au 0.842 0.736 0.684
Au 0.653 0.775 0.306
Au 0.153 0.504 0.306
Au 0.158 0.052 0.316
Au 0.347 0.469 0.694
Au 0.847 0.198 0.694
Au 0.500 0.917 0.000
Pt 0.315 0.939 0.631
Pt 0.685 0.308 0.369

The crystal system is orthorhombic. The calculation puts the excess energy over the best structure of this formula in the dataset at 0 meV per atom. As for the formation energy: 0.068 eV per atom.